# PtW2F (PBE with a Hubbard U, relaxed)
data_PtW2F
_cell_length_a 6.650
_cell_length_b 6.650
_cell_length_c 6.539
_cell_angle_alpha 90.00
_cell_angle_beta 90.00
_cell_angle_gamma 90.00
_space_group_name_H-M_alt 'I -4 2 d'
_space_group_IT_number 122
_space_group_name_Hall 'I -4 2bw'
loop_
_atom_site_label
_atom_site_type_symbol
_atom_site_fract_x
_atom_site_fract_y
_atom_site_fract_z
Pt1 Pt 0.000 0.000 0.000
W1 W 0.208 0.250 0.625
F1 F 0.000 0.000 0.500
# magnetic moment: 21.66 μB/cell
# density: 13.36 g cm⁻³
# polymorph energy (0 for the lowest one): 0.000 eV/atom